[1]
Compound: LiZr2Pt6
Source: Alexandria via LeMat-Bulk
Functional: PBE
Structure: optimized geometry

a = 12.855 Å, b = 7.172 Å, c = 3.771 Å
α = 90.00°, β = 106.96°, γ = 90.00°
Space group C2/m (No. 12)
One atom of each set of equivalent atoms:
1 Li 0.000 0.000 0.000
2 Zr 0.149 0.500 0.650
3 Pt 0.000 0.223 0.500
4 Pt 0.165 0.223 0.165

Output
The value obtained for the energy of formation from the pure elements is -0.64 eV per atom. The magnetic moment comes out at 0.0 μB/cell.

[2]
Compound: LiZrPt2
Source: Alexandria via LeMat-Bulk
Functional: PBE
Structure: optimized geometry

a = 4.136 Å, b = 4.136 Å, c = 7.585 Å
α = 90.00°, β = 90.00°, γ = 90.00°
Space group I4/mmm (No. 139)
One atom of each set of equivalent atoms:
1 Li 0.000 0.000 0.000
2 Zr 0.000 0.000 0.500
3 Pt 0.000 0.500 0.250

Output
The value obtained for the energy of formation from the pure elements is -0.90 eV per atom. The magnetic moment comes out at 0.0 μB/cell.

[3]
Compound: LiZrPt2
Source: Alexandria via LeMat-Bulk
Functional: PBE
Structure: optimized geometry

a = 7.034 Å, b = 7.034 Å, c = 5.636 Å
α = 90.00°, β = 90.00°, γ = 90.00°
Space group I-42d (No. 122)
One atom of each set of equivalent atoms:
1 Li 0.000 0.000 0.000
2 Zr 0.000 0.000 0.500
3 Pt 0.236 0.250 0.125

Output
The value obtained for the energy of formation from the pure elements is -0.52 eV per atom. The magnetic moment comes out at 0.0 μB/cell.

[4]
Compound: LiZrPt3
Source: Alexandria via LeMat-Bulk
Functional: PBE
Structure: optimized geometry

a = 5.348 Å, b = 13.904 Å, c = 5.057 Å
α = 90.00°, β = 90.00°, γ = 90.00°
Space group Cmcm (No. 63)
One atom of each set of equivalent atoms:
1 Li 0.000 0.043 0.250
2 Zr 0.000 0.311 0.750
3 Pt 0.000 0.500 0.000
4 Pt 0.247 0.145 0.750

Output
The value obtained for the energy of formation from the pure elements is -0.62 eV per atom. The magnetic moment comes out at 0.0 μB/cell.

[5]
Compound: LiZr2Pt
Source: Alexandria via LeMat-Bulk
Functional: PBE
Structure: optimized geometry

a = 4.561 Å, b = 4.561 Å, c = 3.557 Å
α = 90.00°, β = 90.00°, γ = 90.00°
Space group P4/mmm (No. 123)
One atom of each set of equivalent atoms:
1 Li 0.000 0.000 0.000
2 Zr 0.000 0.500 0.500
3 Pt 0.500 0.500 0.000

Output
The value obtained for the energy of formation from the pure elements is -0.46 eV per atom. The magnetic moment comes out at 0.0 μB/cell.

[6]
Compound: LiZrPt
Source: Alexandria via LeMat-Bulk
Functional: PBE
Structure: optimized geometry

a = 3.793 Å, b = 3.793 Å, c = 7.620 Å
α = 90.00°, β = 90.00°, γ = 90.00°
Space group P4/nmm (No. 129, origin choice 2)
One atom of each set of equivalent atoms:
1 Li 0.250 0.750 0.000
2 Zr 0.250 0.250 0.350
3 Pt 0.250 0.250 0.722

Output
The value obtained for the energy of formation from the pure elements is -0.69 eV per atom. The magnetic moment comes out at 0.0 μB/cell.

[7]
Compound: Li3Zr2Pt4
Source: Alexandria via LeMat-Bulk
Functional: PBE
Structure: optimized geometry

a = 8.192 Å, b = 4.265 Å, c = 8.475 Å
α = 90.00°, β = 97.94°, γ = 90.00°
Space group C2/m (No. 12)
One atom of each set of equivalent atoms:
1 Li 0.000 0.000 0.000
2 Li 0.151 0.500 0.561
3 Zr 0.169 0.500 0.218
4 Pt 0.009 0.000 0.338
5 Pt 0.165 0.500 0.890

Output
The value obtained for the energy of formation from the pure elements is -0.78 eV per atom. The magnetic moment comes out at 0.0 μB/cell.

[8]
Compound: LiZr2Pt
Source: Alexandria via LeMat-Bulk
Functional: PBE
Structure: optimized geometry

a = 3.407 Å, b = 4.584 Å, c = 9.655 Å
α = 90.00°, β = 90.00°, γ = 90.00°
Space group Imm2 (No. 44)
One atom of each set of equivalent atoms:
1 Li 0.000 0.000 0.000
2 Zr 0.000 0.000 0.452
3 Zr 0.000 0.500 0.217
4 Pt 0.000 0.500 0.718

Output
The value obtained for the energy of formation from the pure elements is -0.38 eV per atom. The magnetic moment comes out at 0.0 μB/cell.

[9]
Compound: Li2ZrPt
Source: Alexandria via LeMat-Bulk
Functional: PBE
Structure: optimized geometry

a = 2.819 Å, b = 4.297 Å, c = 5.410 Å
α = 90.00°, β = 90.00°, γ = 90.00°
Space group Pmmm (No. 47)
One atom of each set of equivalent atoms:
1 Li 0.000 0.000 0.212
2 Zr 0.500 0.500 0.500
3 Pt 0.500 0.500 0.000

Output
The value obtained for the energy of formation from the pure elements is -0.26 eV per atom. The magnetic moment comes out at 0.0 μB/cell.

[10]
Compound: LiZrPt4
Source: Alexandria via LeMat-Bulk
Functional: PBE
Structure: optimized geometry

a = 7.464 Å, b = 7.464 Å, c = 7.464 Å
α = 90.00°, β = 90.00°, γ = 90.00°
Space group F-43m (No. 216)
One atom of each set of equivalent atoms:
1 Li 0.000 0.000 0.000
2 Zr 0.250 0.250 0.250
3 Pt 0.126 0.126 0.626

Output
The value obtained for the energy of formation from the pure elements is -0.69 eV per atom. The magnetic moment comes out at 0.0 μB/cell.

[11]
Compound: LiZr2Pt
Source: Alexandria via LeMat-Bulk
Functional: PBE
Structure: optimized geometry

a = 3.276 Å, b = 4.264 Å, c = 5.614 Å
α = 90.00°, β = 106.80°, γ = 90.00°
Space group Pm (No. 6)
One atom of each set of equivalent atoms:
1 Li 0.000 0.000 0.000
2 Zr 0.418 0.500 0.837
3 Zr 0.726 0.000 0.457
4 Pt 0.134 0.500 0.273

Output
The value obtained for the energy of formation from the pure elements is -0.39 eV per atom. The magnetic moment comes out at 0.0 μB/cell.

[12]
Compound: LiZr5Pt6
Source: Alexandria via LeMat-Bulk
Functional: PBE
Structure: optimized geometry

a = 14.859 Å, b = 6.275 Å, c = 4.880 Å
α = 90.00°, β = 107.14°, γ = 90.00°
Space group C2/m (No. 12)
One atom of each set of equivalent atoms:
1 Li 0.000 0.000 0.000
2 Zr 0.000 0.500 0.000
3 Zr 0.165 0.000 0.716
4 Zr 0.170 0.500 0.700
5 Pt 0.000 0.251 0.500
6 Pt 0.161 0.246 0.219

Output
The value obtained for the energy of formation from the pure elements is -0.91 eV per atom. The magnetic moment comes out at 0.0 μB/cell.

[13]
Compound: Li3ZrPt2
Source: Alexandria via LeMat-Bulk
Functional: PBE
Structure: optimized geometry

a = 13.611 Å, b = 3.821 Å, c = 8.862 Å
α = 90.00°, β = 124.44°, γ = 90.00°
Space group C2/m (No. 12)
One atom of each set of equivalent atoms:
1 Li 0.070 0.000 0.414
2 Li 0.072 0.500 0.692
3 Li 0.237 0.500 0.590
4 Zr 0.123 0.000 0.997
5 Pt 0.070 0.500 0.195
6 Pt 0.210 0.000 0.778

Output
The value obtained for the energy of formation from the pure elements is -0.61 eV per atom. The magnetic moment comes out at 0.0 μB/cell.

[14]
Compound: Li2ZrPt
Source: Alexandria via LeMat-Bulk
Functional: PBE
Structure: optimized geometry

a = 2.9446 Å, b = 2.9446 Å, c = 29.2960 Å
α = 90.00°, β = 90.00°, γ = 120.00°
Space group R3m (No. 160, hexagonal axes)
One atom of each set of equivalent atoms:
1 Li 0.0000 0.0000 0.0000
2 Li 0.0000 0.0000 0.2430
3 Zr 0.0000 0.0000 0.4838
4 Pt 0.0000 0.0000 0.7366

Output
The value obtained for the energy of formation from the pure elements is -0.21 eV per atom. The magnetic moment comes out at 0.0 μB/cell.

[15]
Compound: LiZr4Pt
Source: Alexandria via LeMat-Bulk
Functional: PBE
Structure: optimized geometry

a = 8.001 Å, b = 8.001 Å, c = 8.001 Å
α = 90.00°, β = 90.00°, γ = 90.00°
Space group F-43m (No. 216)
One atom of each set of equivalent atoms:
1 Li 0.000 0.000 0.000
2 Zr 0.124 0.124 0.376
3 Pt 0.250 0.250 0.750

Output
The value obtained for the energy of formation from the pure elements is 0.29 eV per atom. The magnetic moment comes out at 0.0 μB/cell.

[16]
Compound: LiZrPt4
Source: Alexandria via LeMat-Bulk
Functional: PBE
Structure: optimized geometry

a = 9.346 Å, b = 3.838 Å, c = 5.663 Å
α = 90.00°, β = 108.20°, γ = 90.00°
Space group C2/m (No. 12)
One atom of each set of equivalent atoms:
1 Li 0.000 0.000 0.000
2 Zr 0.000 0.000 0.500
3 Pt 0.157 0.500 0.840
4 Pt 0.164 0.500 0.325

Output
The value obtained for the energy of formation from the pure elements is -0.69 eV per atom. The magnetic moment comes out at 0.0 μB/cell.

[17]
Compound: LiZrPt2
Source: Alexandria via LeMat-Bulk
Functional: PBE
Structure: optimized geometry

a = 5.848 Å, b = 6.661 Å, c = 3.406 Å
α = 90.00°, β = 90.00°, γ = 90.00°
Space group Cmmm (No. 65)
One atom of each set of equivalent atoms:
1 Li 0.000 0.000 0.000
2 Zr 0.000 0.500 0.000
3 Pt 0.250 0.250 0.500

Output
The value obtained for the energy of formation from the pure elements is -0.82 eV per atom. The magnetic moment comes out at 0.0 μB/cell.

[18]
Compound: LiZrPt
Source: Alexandria via LeMat-Bulk
Functional: PBE
Structure: optimized geometry

a = 6.252 Å, b = 6.252 Å, c = 6.252 Å
α = 90.00°, β = 90.00°, γ = 90.00°
Space group F-43m (No. 216)
One atom of each set of equivalent atoms:
1 Li 0.000 0.000 0.000
2 Zr 0.250 0.250 0.750
3 Pt 0.000 0.000 0.500

Output
The value obtained for the energy of formation from the pure elements is -0.13 eV per atom. The magnetic moment comes out at 0.0 μB/cell.

[19]
Compound: LiZrPt2
Source: Alexandria via LeMat-Bulk
Functional: PBE
Structure: optimized geometry

a = 3.532 Å, b = 3.532 Å, c = 5.468 Å
α = 90.00°, β = 90.00°, γ = 90.00°
Space group P4mm (No. 99)
One atom of each set of equivalent atoms:
1 Li 0.000 0.000 0.000
2 Zr 0.500 0.500 0.684
3 Pt 0.000 0.000 0.476
4 Pt 0.500 0.500 0.163

Output
The value obtained for the energy of formation from the pure elements is -0.64 eV per atom. The magnetic moment comes out at 0.0 μB/cell.

[20]
Compound: Li2ZrPt
Source: Alexandria via LeMat-Bulk
Functional: PBE
Structure: optimized geometry

a = 4.522 Å, b = 4.522 Å, c = 6.422 Å
α = 90.00°, β = 90.00°, γ = 90.00°
Space group I-4m2 (No. 119)
One atom of each set of equivalent atoms:
1 Li 0.000 0.000 0.000
2 Li 0.000 0.500 0.250
3 Zr 0.000 0.500 0.750
4 Pt 0.000 0.000 0.500

Output
The value obtained for the energy of formation from the pure elements is -0.46 eV per atom. The magnetic moment comes out at 0.0 μB/cell.

[21]
Compound: LiZrPt2
Source: Alexandria via LeMat-Bulk
Functional: PBE
Structure: optimized geometry

a = 2.9173 Å, b = 2.9173 Å, c = 26.9885 Å
α = 90.00°, β = 90.00°, γ = 120.00°
Space group R-3m (No. 166, hexagonal axes)
One atom of each set of equivalent atoms:
1 Li 0.0000 0.0000 0.0000
2 Zr 0.0000 0.0000 0.5000
3 Pt 0.0000 0.0000 0.2541

Output
The value obtained for the energy of formation from the pure elements is -0.52 eV per atom. The magnetic moment comes out at 0.0 μB/cell.

[22]
Compound: Li2ZrPt
Source: Alexandria via LeMat-Bulk
Functional: PBE
Structure: optimized geometry

a = 3.836 Å, b = 3.836 Å, c = 9.471 Å
α = 90.00°, β = 90.00°, γ = 90.00°
Space group I4/mmm (No. 139)
One atom of each set of equivalent atoms:
1 Li 0.000 0.500 0.250
2 Zr 0.000 0.000 0.000
3 Pt 0.000 0.000 0.500

Output
The value obtained for the energy of formation from the pure elements is -0.37 eV per atom. The magnetic moment comes out at 1.3 μB/cell.

[23]
Compound: Li6Pu
Source: Alexandria via LeMat-Bulk
Functional: PBE
Structure: optimized geometry

a = 7.008 Å, b = 7.008 Å, c = 7.008 Å
α = 90.00°, β = 90.00°, γ = 90.00°
Space group Im-3m (No. 229)
One atom of each set of equivalent atoms:
1 Li 0.000 0.250 0.500
2 Pu 0.000 0.000 0.000

Output
The value obtained for the energy of formation from the pure elements is 0.50 eV per atom. The magnetic moment comes out at 13.7 μB/cell.

[24]
Compound: LiPu3
Source: Alexandria via LeMat-Bulk
Functional: PBE
Structure: optimized geometry

a = 6.550 Å, b = 6.550 Å, c = 6.550 Å
α = 90.00°, β = 90.00°, γ = 90.00°
Space group Fm-3m (No. 225)
One atom of each set of equivalent atoms:
1 Li 0.000 0.000 0.000
2 Pu 0.000 0.000 0.500
3 Pu 0.250 0.250 0.250

Output
The value obtained for the energy of formation from the pure elements is 0.33 eV per atom. The magnetic moment comes out at 16.7 μB/cell.

[25]
Compound: Li3Pu
Source: Alexandria via LeMat-Bulk
Functional: PBE
Structure: optimized geometry

a = 7.187 Å, b = 7.187 Å, c = 7.187 Å
α = 90.00°, β = 90.00°, γ = 90.00°
Space group Fm-3m (No. 225)
One atom of each set of equivalent atoms:
1 Li 0.000 0.000 0.000
2 Li 0.250 0.250 0.250
3 Pu 0.000 0.000 0.500

Output
The value obtained for the energy of formation from the pure elements is 0.44 eV per atom. The magnetic moment comes out at 31.7 μB/cell.

[26]
Compound: Li3Pu
Source: Alexandria via LeMat-Bulk
Functional: PBE
Structure: optimized geometry

a = 4.387 Å, b = 4.387 Å, c = 9.801 Å
α = 90.00°, β = 90.00°, γ = 90.00°
Space group I4/mmm (No. 139)
One atom of each set of equivalent atoms:
1 Li 0.000 0.000 0.000
2 Li 0.000 0.500 0.250
3 Pu 0.000 0.000 0.500

Output
The value obtained for the energy of formation from the pure elements is 0.42 eV per atom. The magnetic moment comes out at 13.2 μB/cell.

[27]
Compound: Li4Pu
Source: Alexandria via LeMat-Bulk
Functional: PBE
Structure: optimized geometry

a = 5.638 Å, b = 5.638 Å, c = 5.638 Å
α = 90.00°, β = 90.00°, γ = 90.00°
Space group Pm-3m (No. 221)
One atom of each set of equivalent atoms:
1 Li 0.000 0.000 0.000
2 Li 0.000 0.500 0.500
3 Pu 0.500 0.500 0.500

Output
The value obtained for the energy of formation from the pure elements is 1.07 eV per atom. The magnetic moment comes out at 7.2 μB/cell.

[28]
Compound: Li3Pu
Source: Alexandria via LeMat-Bulk
Functional: PBE
Structure: optimized geometry

a = 2.893 Å, b = 5.187 Å, c = 5.930 Å
α = 90.00°, β = 90.00°, γ = 90.00°
Space group Pmm2 (No. 25)
One atom of each set of equivalent atoms:
1 Li 0.000 0.000 0.000
2 Li 0.000 0.500 0.252
3 Li 0.500 0.000 0.440
4 Pu 0.500 0.500 0.753

Output
The value obtained for the energy of formation from the pure elements is 0.26 eV per atom. The magnetic moment comes out at 6.7 μB/cell.